[1]
In2GaNi7As2 | PBE | optimized geometry

```
data_In2GaNi7As2
_symmetry_space_group_name_H-M 'C 1 2/m 1'
_symmetry_Int_Tables_number 12
_symmetry_space_group_name_Hall '-C 2y'
_cell_length_a 5.1649
_cell_length_b 5.1461
_cell_length_c 13.5857
_cell_angle_alpha 90.00
_cell_angle_beta 95.80
_cell_angle_gamma 90.00
loop_
_atom_site_label
_atom_site_type_symbol
_atom_site_fract_x
_atom_site_fract_y
_atom_site_fract_z
In1 In 0.1089 0.0000 0.3984
Ga1 Ga 0.0000 0.0000 0.0000
Ni1 Ni 0.0000 0.5000 0.0000
Ni2 Ni 0.1058 0.5000 0.4135
Ni3 Ni 0.2142 0.2503 0.8688
As1 As 0.0655 0.5000 0.2396
```

Values from the calculation:
Spin magnetization, μB per formula unit: 0.0
Energy of formation, eV per atom: -0.18

[2]
UTlS3 | PBE | optimized geometry

```
data_UTlS3
_symmetry_space_group_name_H-M 'R -3 m'
_symmetry_Int_Tables_number 166
_symmetry_space_group_name_Hall '-R 3 2"'
_cell_length_a 7.0491
_cell_length_b 7.0491
_cell_length_c 20.2212
_cell_angle_alpha 90.00
_cell_angle_beta 90.00
_cell_angle_gamma 120.00
loop_
_atom_site_label
_atom_site_type_symbol
_atom_site_fract_x
_atom_site_fract_y
_atom_site_fract_z
U1 U 0.0000 0.0000 0.1644
Tl1 Tl 0.0000 0.0000 0.3736
S1 S 0.0039 0.5019 0.4185
```

Values from the calculation:
Spin magnetization, μB per formula unit: 1.0
Energy above the lowest structure with this stoichiometry, eV per formula unit: 0.15

[3]
Ni2MoBr | PBE | optimized geometry

```
data_Ni2MoBr
_symmetry_space_group_name_H-M 'I m m m'
_symmetry_Int_Tables_number 71
_symmetry_space_group_name_Hall '-I 2 2'
_cell_length_a 2.8768
_cell_length_b 4.5127
_cell_length_c 8.7175
_cell_angle_alpha 90.00
_cell_angle_beta 90.00
_cell_angle_gamma 90.00
loop_
_atom_site_label
_atom_site_type_symbol
_atom_site_fract_x
_atom_site_fract_y
_atom_site_fract_z
Ni1 Ni 0.0000 0.0000 0.2414
Mo1 Mo 0.0000 0.5000 0.0000
Br1 Br 0.0000 0.5000 0.5000
```

Values from the calculation:
Spin magnetization, μB per formula unit: 0.0
Energy above the lowest structure with this stoichiometry, eV per formula unit: 1.34

[4]
Pd3PbSe | PBE | optimized geometry

```
data_Pd3PbSe
_symmetry_space_group_name_H-M 'P m -3 m'
_symmetry_Int_Tables_number 221
_symmetry_space_group_name_Hall '-P 4 2 3'
_cell_length_a 5.0551
_cell_length_b 5.0551
_cell_length_c 5.0551
_cell_angle_alpha 90.00
_cell_angle_beta 90.00
_cell_angle_gamma 90.00
loop_
_atom_site_label
_atom_site_type_symbol
_atom_site_fract_x
_atom_site_fract_y
_atom_site_fract_z
Pd1 Pd 0.0000 0.0000 0.5000
Pb1 Pb 0.0000 0.0000 0.0000
Se1 Se 0.5000 0.5000 0.5000
```

Values from the calculation:
Spin magnetization, μB per formula unit: 0.0
Energy above the lowest structure with this stoichiometry, eV per formula unit: 4.96

[5]
LiCeNp2S4 | PBE | optimized geometry

```
data_LiCeNp2S4
_symmetry_space_group_name_H-M 'P 1 2/m 1'
_symmetry_Int_Tables_number 10
_symmetry_space_group_name_Hall '-P 2y'
_cell_length_a 6.7890
_cell_length_b 3.9416
_cell_length_c 6.8185
_cell_angle_alpha 90.00
_cell_angle_beta 109.62
_cell_angle_gamma 90.00
loop_
_atom_site_label
_atom_site_type_symbol
_atom_site_fract_x
_atom_site_fract_y
_atom_site_fract_z
Li1 Li 0.0000 0.0000 0.0000
Ce1 Ce 0.5000 0.5000 0.0000
Np1 Np 0.0000 0.5000 0.5000
Np2 Np 0.5000 0.0000 0.5000
S1 S 0.2406 0.0000 0.7457
S2 S 0.2438 0.5000 0.2495
```

Values from the calculation:
Spin magnetization, μB per formula unit: 9.6
Final energy, eV/atom: -7.8182

[6]
Ce2Pm3ScTe6 | PBE | optimized geometry

```
data_Ce2Pm3ScTe6
_symmetry_space_group_name_H-M 'C 1 2/m 1'
_symmetry_Int_Tables_number 12
_symmetry_space_group_name_Hall '-C 2y'
_cell_length_a 19.3243
_cell_length_b 4.3994
_cell_length_c 8.9209
_cell_angle_alpha 90.00
_cell_angle_beta 103.83
_cell_angle_gamma 90.00
loop_
_atom_site_label
_atom_site_type_symbol
_atom_site_fract_x
_atom_site_fract_y
_atom_site_fract_z
Ce1 Ce 0.1667 0.0000 0.3354
Pm1 Pm 0.0000 0.5000 0.5000
Pm2 Pm 0.1713 0.0000 0.8364
Sc1 Sc 0.0000 0.5000 0.0000
Te1 Te 0.0023 0.0000 0.7667
Te2 Te 0.1588 0.5000 0.0793
Te3 Te 0.1660 0.5000 0.5857
```

Values from the calculation:
Spin magnetization, μB per formula unit: 2.5
Final energy, eV/atom: -5.6110

Calculated volume: 359; 870; 113; 129; 172; 736 (Å³ per cell)